# FeCoSb2I, optimized geometry, DFT PBE
data_FeCoSb2I
_chemical_formula_sum 'Fe1 Co1 Sb2 I1'
_space_group_name_H-M_alt 'P 4/m m m'
_space_group_IT_number 123
_space_group_name_Hall '-P 4 2'
_cell_length_a 4.8410
_cell_length_b 4.8410
_cell_length_c 5.4637
_cell_angle_alpha 90.00
_cell_angle_beta 90.00
_cell_angle_gamma 90.00
loop_
_atom_site_label
_atom_site_fract_x
_atom_site_fract_y
_atom_site_fract_z
Fe1 0.0000 0.0000 0.0000
Co1 0.5000 0.5000 0.5000
Sb1 0.0000 0.5000 0.5000
I1 0.5000 0.5000 0.0000
# Formation energy without anion corrections   0.84 eV per atom
# Energy   -4.2346 eV/atom
# Crystal system   tetragonal
# Density   6.29 g/cm3